# GGA-PBE Rb2TlCd2, relaxed
# Energy above the most stable polymorph in this dataset   99 meV per atom
# DFT formation energy   0.04 eV per atom
# Spin magnetization   0.00 Bohr magnetons per cell
data_Rb2TlCd2
_cell_length_a 4.232
_cell_length_b 4.232
_cell_length_c 23.393
_cell_angle_alpha 90.00
_cell_angle_beta 90.00
_cell_angle_gamma 90.00
_space_group_name_H-M_alt 'I 4/m m m'
_space_group_IT_number 139
_space_group_name_Hall '-I 4 2'
loop_
_atom_site_label
_atom_site_fract_x
_atom_site_fract_y
_atom_site_fract_z
_atom_site_occupancy
Rb1 0.000 0.000 0.108 1
Tl1 0.000 0.000 0.500 1
Cd1 0.000 0.500 0.250 1